Below is an optimized crystal structure of ZrTeS2, with properties calculated at the PBE level.

The crystal system is orthorhombic.

The structure belongs to space group Cmcm (No. 63); the cell edges are 3.521, 14.256 and 7.682 Å and the angles 90.00°, 90.00° and 90.00°. The inequivalent atoms are Zr at (0.000, 0.244, 0.250), Te at (0.000, 0.087, 0.750) and S at (0.000, 0.344, 0.556).


Below is an optimized crystal structure of Zr6TeS, with properties calculated at the PBE level.

The crystal system is trigonal.

The structure belongs to space group R-3 (No. 148, hexagonal axes); the cell edges are 6.2497, 6.2497 and 17.2241 Å and the angles 90.00°, 90.00° and 120.00°. The inequivalent atoms are Zr at (0.0171, 0.3039, 0.2412), Te at (0.0000, 0.0000, 0.0000) and S at (0.0000, 0.0000, 0.5000).


Below is an optimized crystal structure of Zr4Te5S, with properties calculated at the PBE level.

The crystal system is monoclinic.

The structure belongs to space group C2/m (No. 12); the cell edges are 17.511, 3.880 and 8.042 Å and the angles 90.00°, 102.14° and 90.00°. The inequivalent atoms are Zr at (0.002, 0.000, 0.289), Zr at (0.147, 0.500, 0.569), Te at (0.000, 0.500, 0.000), Te at (0.165, 0.000, 0.841), Te at (0.173, 0.000, 0.314) and S at (0.000, 0.500, 0.500).


Below is an optimized crystal structure of ZrTeS2, with properties calculated at the PBE level.

The crystal system is tetragonal.

The structure belongs to space group I-42d (No. 122); the cell edges are 7.091, 7.091 and 10.603 Å and the angles 90.00°, 90.00° and 90.00°. The inequivalent atoms are Zr at (0.000, 0.000, 0.000), Te at (0.000, 0.000, 0.500) and S at (0.140, 0.250, 0.125).


Below is an optimized crystal structure of ZrTeS2, with properties calculated at the PBE level.

The crystal system is trigonal.

The structure belongs to space group R-3m (No. 166, hexagonal axes); the cell edges are 3.5888, 3.5888 and 25.9139 Å and the angles 90.00°, 90.00° and 120.00°. The inequivalent atoms are Zr at (0.0000, 0.0000, 0.0000), Te at (0.0000, 0.0000, 0.5000) and S at (0.0000, 0.0000, 0.3932).


Below is an optimized crystal structure of ZrTe3S, with properties calculated at the PBE level.

The crystal system is cubic.

The structure belongs to space group Pm-3m (No. 221); the cell edges are 5.161, 5.161 and 5.161 Å and the angles 90.00°, 90.00° and 90.00°. The inequivalent atoms are Zr at (0.000, 0.000, 0.000), Te at (0.000, 0.500, 0.500) and S at (0.500, 0.500, 0.500).


Below is an optimized crystal structure of Zr2Te2S, with properties calculated at the PBE level.

The crystal system is tetragonal.

The structure belongs to space group P4/mbm (No. 127); the cell edges are 7.612, 7.612 and 3.989 Å and the angles 90.00°, 90.00° and 90.00°. The inequivalent atoms are Zr at (0.149, 0.351, 0.000), Te at (0.147, 0.647, 0.500) and S at (0.000, 0.000, 0.000).


Below is an optimized crystal structure of Zr2TeS2, with properties calculated at the PBE level.

The crystal system is orthorhombic.

The structure belongs to space group Immm (No. 71); the cell edges are 3.805, 5.092 and 12.279 Å and the angles 90.00°, 90.00° and 90.00°. The inequivalent atoms are Zr at (0.000, 0.000, 0.184), Te at (0.000, 0.500, 0.500) and S at (0.000, 0.500, 0.170).


Below is an optimized crystal structure of Zr8Te2S, with properties calculated at the PBE level.

The crystal system is monoclinic.

The structure belongs to space group C2/m (No. 12); the cell edges are 16.593, 3.807 and 7.813 Å and the angles 90.00°, 95.10° and 90.00°. The inequivalent atoms are Zr at (0.011, 0.000, 0.224), Zr at (0.088, 0.500, 0.518), Zr at (0.157, 0.500, 0.035), Zr at (0.202, 0.000, 0.351), Te at (0.177, 0.000, 0.751) and S at (0.000, 0.500, 0.000).


Below is an optimized crystal structure of Zr2TeS2, with properties calculated at the PBE level.

The crystal system is tetragonal.

The structure belongs to space group P4/mbm (No. 127); the cell edges are 7.640, 7.640 and 3.424 Å and the angles 90.00°, 90.00° and 90.00°. The inequivalent atoms are Zr at (0.144, 0.356, 0.000), Te at (0.000, 0.000, 0.000) and S at (0.134, 0.634, 0.500).


Below is an optimized crystal structure of Zr2TeS3, with properties calculated at the PBE level.

The crystal system is monoclinic.

The structure belongs to space group C2/m (No. 12); the cell edges are 16.287, 3.752 and 12.992 Å and the angles 90.00°, 118.75° and 90.00°. The inequivalent atoms are Zr at (0.250, 0.000, 0.121), Zr at (0.250, 0.000, 0.623), Te at (0.112, 0.000, 0.207), S at (0.148, 0.500, 0.979), S at (0.152, 0.500, 0.487) and S at (0.155, 0.000, 0.733).


Below is an optimized crystal structure of Zr2TeS2, with properties calculated at the PBE level.

The crystal system is tetragonal.

The structure belongs to space group I4/mmm (No. 139); the cell edges are 4.301, 4.301 and 12.116 Å and the angles 90.00°, 90.00° and 90.00°. The inequivalent atoms are Zr at (0.000, 0.000, 0.132), Te at (0.000, 0.000, 0.500) and S at (0.000, 0.500, 0.250).


Total magnetization (computed, μB/f.u.): 0.000 0.000 0.000 2.000 0.000 0.000 0.000 0.000 0.000 0.000 0.000 0.000
E_form (uncorrected) (computed, eV per atom): -0.810 -0.318 -1.015 -0.395 -0.917 0.404 -0.827 -1.300 -0.628 -1.115 -1.359 -1.040